Record 1
A plane-wave DFT calculation with PBE-GGA was carried out for an optimized crystal structure of InAsRh2.

Structure (CIF):
```
data_InAsRh2
_cell_length_a 3.942
_cell_length_b 3.942
_cell_length_c 5.771
_cell_angle_alpha 70.03
_cell_angle_beta 70.03
_cell_angle_gamma 60.00
_space_group_name_H-M_alt 'P 1'
_space_group_IT_number 1
_space_group_name_Hall 'P 1'
loop_
_atom_site_label
_atom_site_type_symbol
_atom_site_fract_x
_atom_site_fract_y
_atom_site_fract_z
In1 In 0.495 0.495 0.514
As1 As 0.672 0.672 0.984
Rh1 Rh 0.061 0.061 0.818
Rh2 Rh 0.272 0.272 0.184
```

The calculation puts the magnetic moment at 0.000 μB per atom. Its symmetry is No. 160. The value obtained for the total energy is -5.8320 eV per atom. The calculation puts the density of states at the Fermi level at 1.833 states/eV/f.u.

***

Record 2
A plane-wave DFT calculation with PBE-GGA was carried out for an optimized crystal structure of InAsRh2.

Structure (CIF):
```
data_InAsRh2
_cell_length_a 3.431
_cell_length_b 3.431
_cell_length_c 5.798
_cell_angle_alpha 90.00
_cell_angle_beta 90.00
_cell_angle_gamma 90.00
_space_group_name_H-M_alt 'P 1'
_space_group_IT_number 1
_space_group_name_Hall 'P 1'
loop_
_atom_site_label
_atom_site_type_symbol
_atom_site_fract_x
_atom_site_fract_y
_atom_site_fract_z
As1 As 0.000 0.000 0.426
Rh1 Rh 0.000 0.000 0.995
Rh2 Rh 0.500 0.500 0.296
In1 In 0.500 0.500 0.784
```

The calculation puts the magnetic moment at 0.000 μB per atom. Its symmetry is No. 99. The value obtained for the total energy is -5.7622 eV per atom. The calculation puts the density of states at the Fermi level at 3.106 states/eV/f.u.

***

Record 3
A plane-wave DFT calculation with PBE-GGA was carried out for an optimized crystal structure of InAs2Rh.

Structure (CIF):
```
data_InAs2Rh
_cell_length_a 8.373
_cell_length_b 8.373
_cell_length_c 8.373
_cell_angle_alpha 22.95
_cell_angle_beta 22.95
_cell_angle_gamma 22.95
_space_group_name_H-M_alt 'P 1'
_space_group_IT_number 1
_space_group_name_Hall 'P 1'
loop_
_atom_site_label
_atom_site_type_symbol
_atom_site_fract_x
_atom_site_fract_y
_atom_site_fract_z
As1 As 0.013 0.013 0.013
As2 As 0.252 0.252 0.252
Rh1 Rh 0.741 0.741 0.741
In1 In 0.494 0.494 0.494
```

The calculation puts the magnetic moment at 0.000 μB per atom. Its symmetry is No. 160. The value obtained for the total energy is -4.8863 eV per atom. The calculation puts the density of states at the Fermi level at 1.610 states/eV/f.u.

***

Record 4
A plane-wave DFT calculation with PBE-GGA was carried out for an optimized crystal structure of InAs2Rh.

Structure (CIF):
```
data_InAs2Rh
_cell_length_a 3.143
_cell_length_b 3.142
_cell_length_c 7.961
_cell_angle_alpha 90.00
_cell_angle_beta 90.00
_cell_angle_gamma 90.00
_space_group_name_H-M_alt 'P 1'
_space_group_IT_number 1
_space_group_name_Hall 'P 1'
loop_
_atom_site_label
_atom_site_type_symbol
_atom_site_fract_x
_atom_site_fract_y
_atom_site_fract_z
As1 As 0.000 0.000 0.934
As2 As 0.000 0.000 0.566
Rh1 Rh 0.500 0.500 0.750
In1 In 0.500 0.500 0.250
```

The calculation puts the magnetic moment at 0.000 μB per atom. Its symmetry is No. 123. The value obtained for the total energy is -4.9598 eV per atom. The calculation puts the density of states at the Fermi level at 1.306 states/eV/f.u.

***

Record 5
A plane-wave DFT calculation with PBE-GGA was carried out for an optimized crystal structure of InAsRh2.

Structure (CIF):
```
data_InAsRh2
_cell_length_a 5.782
_cell_length_b 6.437
_cell_length_c 7.474
_cell_angle_alpha 90.00
_cell_angle_beta 89.97
_cell_angle_gamma 90.00
_space_group_name_H-M_alt 'P 1'
_space_group_IT_number 1
_space_group_name_Hall 'P 1'
loop_
_atom_site_label
_atom_site_type_symbol
_atom_site_fract_x
_atom_site_fract_y
_atom_site_fract_z
In1 In 0.212 0.391 0.111
In2 In 0.288 0.891 0.889
In3 In 0.712 0.109 0.111
In4 In 0.788 0.609 0.889
As1 As 0.700 0.055 0.625
As2 As 0.200 0.445 0.625
As3 As 0.300 0.945 0.375
As4 As 0.800 0.555 0.375
Rh1 Rh 0.510 0.713 0.179
Rh2 Rh 0.010 0.787 0.179
Rh3 Rh 0.989 0.209 0.412
Rh4 Rh 0.990 0.213 0.821
Rh5 Rh 0.011 0.791 0.588
Rh6 Rh 0.511 0.709 0.588
Rh7 Rh 0.490 0.287 0.821
Rh8 Rh 0.489 0.291 0.412
```

The calculation puts the magnetic moment at 0.000 μB per atom. Its symmetry is No. 14. The value obtained for the total energy is -5.9950 eV per atom. The calculation puts the density of states at the Fermi level at 1.811 states/eV/f.u.

***

Record 6
A plane-wave DFT calculation with PBE-GGA was carried out for an optimized crystal structure of InAsRh2.

Structure (CIF):
```
data_InAsRh2
_cell_length_a 4.563
_cell_length_b 4.563
_cell_length_c 4.563
_cell_angle_alpha 60.00
_cell_angle_beta 60.00
_cell_angle_gamma 60.00
_space_group_name_H-M_alt 'P 1'
_space_group_IT_number 1
_space_group_name_Hall 'P 1'
loop_
_atom_site_label
_atom_site_type_symbol
_atom_site_fract_x
_atom_site_fract_y
_atom_site_fract_z
As1 As 0.500 0.500 0.500
Rh1 Rh 0.000 0.000 0.000
Rh2 Rh 0.250 0.250 0.250
In1 In 0.750 0.750 0.750
```

The calculation puts the magnetic moment at 0.000 μB per atom. Its symmetry is No. 216. The value obtained for the total energy is -5.4419 eV per atom. The calculation puts the density of states at the Fermi level at 3.137 states/eV/f.u.